(1)
Compound: TaZnCd2Br
Source: Alexandria
Functional: PBE-GGA
Structure: optimized geometry

Cell lengths 5.024, 5.110, 5.024 Å; angles 90.00, 90.00, 90.00 degrees
Element x y z (fractional)
1 Zn 0.000 0.000 0.000
2 Cd 0.000 0.000 0.500
3 Cd 0.500 0.000 0.000
4 Br 0.500 0.500 0.500
5 Ta 0.000 0.500 0.000

Results
- SG = P4/mmm (123)
- E_form (uncorrected) (meV per atom) = 787

=====

(2)
Compound: TmFeRu
Source: Alexandria
Functional: PBE-GGA
Structure: optimized geometry

Cell lengths 4.140, 3.935, 3.935 Å; angles 120.00, 90.00, 90.00 degrees
Element x y z (fractional)
1 Ru 0.167 0.333 0.667
2 Tm 0.667 0.667 0.333
3 Fe 0.167 0.000 0.000

Results
- SG = P-6m2 (187)
- formation enthalpy at 0 K (eV/atom) = -0.059

=====

(3)
Compound: HfAlRe
Source: Alexandria
Functional: PBE-GGA
Structure: optimized geometry

Cell lengths 5.234, 5.234, 5.234 Å; angles 90.57, 119.52, 119.82 degrees
Element x y z (fractional)
1 Hf 0.250 0.131 0.881
2 Hf 0.750 0.869 0.119
3 Al 0.000 0.500 0.500
4 Al 0.500 0.000 0.500
5 Re 0.500 0.500 0.500
6 Re 0.000 0.500 0.000

Results
- SG = Imma (74)
- relative energy among the computed polymorphs (meV/atom) = 3
- formation enthalpy at 0 K (eV/atom) = -0.462

=====

(4)
Compound: Sb2Pd4Au3
Source: Alexandria
Functional: PBE-GGA
Structure: optimized geometry

Cell lengths 4.584, 4.608, 8.774 Å; angles 89.97, 90.46, 59.86 degrees
Element x y z (fractional)
1 Sb 0.334 0.333 0.789
2 Sb 0.666 0.667 0.211
3 Pd 0.667 0.666 0.878
4 Pd 0.999 0.000 0.328
5 Pd 0.001 0.000 0.672
6 Pd 0.333 0.334 0.122
7 Au 0.334 0.333 0.457
8 Au 0.000 0.000 0.000
9 Au 0.666 0.667 0.543

Results
- SG = C2/m (12)
- E_form (uncorrected) (meV per atom) = -231

=====

(5)
Compound: Sb
Source: Alexandria
Functional: PBE-GGA
Structure: optimized geometry

Cell lengths 8.522, 8.522, 8.522 Å; angles 90.00, 90.00, 90.00 degrees
Element x y z (fractional)
1 Sb 0.250 0.000 0.500
2 Sb 0.750 0.000 0.500
3 Sb 0.000 0.500 0.250
4 Sb 0.000 0.500 0.750
5 Sb 0.500 0.250 0.000
6 Sb 0.500 0.750 0.000
7 Sb 0.000 0.750 0.500
8 Sb 0.000 0.250 0.500
9 Sb 0.750 0.500 0.000
10 Sb 0.250 0.500 0.000
11 Sb 0.500 0.000 0.750
12 Sb 0.500 0.000 0.250

Results
- SG = Im-3m (229)
- relative energy among the computed polymorphs (meV/atom) = 354
- E_form (uncorrected) (meV per atom) = 354

=====

(6)
Compound: RbYMg2H
Source: Alexandria
Functional: PBE-GGA
Structure: optimized geometry

Cell lengths 5.995, 4.034, 5.995 Å; angles 90.00, 90.00, 90.00 degrees
Element x y z (fractional)
1 Y 0.000 0.500 0.000
2 H 0.000 0.000 0.000
3 Mg 0.000 0.000 0.500
4 Mg 0.500 0.000 0.000
5 Rb 0.500 0.500 0.500

Results
- SG = P4/mmm (123)

=====

no.,Fermi-level density of states (states/eV/cell),calculated density (g cm⁻³),DFT total energy (hartree per atom)
1,2.52,7.10,-0.09332
2,3.12,9.75,-0.27422
3,4.43,12.77,-0.33722
4,3.68,13.05,-0.16711
5,14.64,3.92,-0.13848
6,4.71,2.57,-0.09447